## CoAgIrPt2 (GGA-PBE)

Data for CoAgIrPt2 after structural relaxation.

Output
- energy relative to the elements (eV/atom) = 2.018
- raw total energy (eV/cell) = -20.81
- space group = P4/mmm (123)
- size of the total moment (μB/atom) = 0.79

a b c (Å): 4.818 4.448 4.818
angles (deg): 90.00 90.00 90.00
Site moments in Bohr magnetons follow the coordinates.
Sites, in units of the cell vectors:
Ir1 0.500 0.500 0.500  1.25
Co1 0.000 0.500 0.000  2.21
Ag1 0.000 0.000 0.000  0.08
Pt1 0.000 0.000 0.500  0.18
Pt2 0.500 0.000 0.000  0.24